This record from the Alexandria database describes a relaxed structure of ZnCuSn2. The functional is PBE-GGA.

- Calculated volume: 359.4 Å³ per cell
- Energy: -3.179 eV per atom
- Formation enthalpy at 0 K: 0.1646 eV/atom
- Crystal system: tetragonal

abc: 4.584 4.584 17.106
angles: 90.00 90.00 90.00
Space group I-42d (No. 122)
One atom of each set of equivalent atoms:
Zn: 0.000 0.000 0.000 x4
Cu: 0.000 0.000 0.500 x4
Sn: 0.231 0.250 0.625 x8